No. 1
Ac4Pm3Nd2 | PBE-GGA | relaxed

Calculated values
Formation energy ... 0.09 eV per atom
Density ... 7.6 g/cm³
Total energy ... -39.43 eV/f.u.
Polymorph energy (0 for the lowest one) ... 50 meV/atom
Spin magnetization ... 0.0 μB per formula unit

Structure (POSCAR):
```
Ac4Pm3Nd2
1.0
-0.062 1.239 -3.614
-3.023 -1.839 1.441
-10.883 24.670 8.648
Ac Pm Nd
4 3 2
Direct
0.000 0.000 0.549 Ac
0.667 0.333 0.430 Ac
0.667 0.333 0.212 Ac
0.000 0.000 0.768 Ac
0.000 0.000 0.982 Pm
0.000 0.000 0.319 Pm
0.667 0.333 0.657 Pm
0.667 0.333 0.083 Nd
0.667 0.333 0.878 Nd
```


No. 2
AcPm7Nd4 | PBE-GGA | relaxed

Calculated values
Formation energy ... 0.25 eV per atom
Density ... 6.9 g/cm³
Total energy ... -53.39 eV/f.u.
Polymorph energy (0 for the lowest one) ... 236 meV/atom
Spin magnetization ... 0.0 μB per formula unit

Structure (POSCAR):
```
AcPm7Nd4
1.0
6.248 0.000 0.000
3.124 11.342 -0.290
3.124 0.140 6.211
Ac Pm Nd
1 7 4
Direct
0.000 0.000 0.000 Ac
0.784 0.919 0.513 Pm
0.216 0.081 0.487 Pm
0.057 0.664 0.222 Pm
0.943 0.336 0.778 Pm
0.370 0.502 0.758 Pm
0.500 0.000 0.000 Pm
0.630 0.498 0.242 Pm
0.632 0.224 0.512 Nd
0.368 0.776 0.488 Nd
0.751 0.679 0.819 Nd
0.249 0.321 0.181 Nd
```